Below is KBa2Br after structural relaxation, with properties calculated at the PBE level.

Cell: 4.521 7.843 7.851 Å, 53.83 90.00 90.00°
Element x y z (fractional)
Ba1 0.500 0.322 0.322
Ba2 0.000 0.001 0.000
K1 0.500 0.677 0.679
Br1 0.000 0.500 0.499

Output
Crystal system ... monoclinic
ΔE to the lowest computed polymorph ... 0.0782 eV/atom
ΔE_f (raw) ... -15.03 kcal/mol of atoms
Space group ... No. 6

Below is KBaBr after structural relaxation, with properties calculated at the PBE level.

Cell: 4.531 4.531 8.378 Å, 90.00 90.00 120.00°
Element x y z (fractional)
Br1 0.667 0.333 0.336
Ba1 0.000 0.000 0.064
K1 0.333 0.667 0.600

Output
Crystal system ... trigonal
ΔE to the lowest computed polymorph ... 0.0000 eV/atom
ΔE_f (raw) ... -23.44 kcal/mol of atoms
Space group ... No. 156

Below is KBaBr2 after structural relaxation, with properties calculated at the PBE level.

Cell: 9.254 9.254 4.600 Å, 89.95 89.95 29.17°
Element x y z (fractional)
Ba1 0.231 0.231 0.124
K1 0.508 0.508 0.626
Br1 0.051 0.051 0.126
Br2 0.709 0.709 0.624

Output
Crystal system ... monoclinic
ΔE to the lowest computed polymorph ... 0.0701 eV/atom
ΔE_f (raw) ... -35.84 kcal/mol of atoms
Space group ... No. 8

Below is K2BaBr after structural relaxation, with properties calculated at the PBE level.

Cell: 4.317 4.317 12.499 Å, 90.00 90.00 90.00°
Element x y z (fractional)
K1 0.000 0.000 0.977
K2 0.500 0.500 0.271
Br1 0.500 0.500 0.683
Ba1 0.000 0.000 0.570

Output
Crystal system ... tetragonal
ΔE to the lowest computed polymorph ... 0.0659 eV/atom
ΔE_f (raw) ... -16.13 kcal/mol of atoms
Space group ... No. 99

Below is KBaBr2 after structural relaxation, with properties calculated at the PBE level.

Cell: 4.749 4.749 6.772 Å, 90.00 90.00 90.01°
Element x y z (fractional)
Br1 0.500 0.500 0.375
Br2 0.000 0.000 0.875
Ba1 0.500 0.500 0.875
K1 0.000 0.000 0.375

Output
Crystal system ... tetragonal
ΔE to the lowest computed polymorph ... 0.0406 eV/atom
ΔE_f (raw) ... -36.52 kcal/mol of atoms
Space group ... No. 123

Below is K4BaBr6 after structural relaxation, with properties calculated at the PBE level.

Cell: 4.623 8.175 23.205 Å, 90.00 90.00 106.42°
Element x y z (fractional)
Br1 0.230 0.461 0.592
Br2 0.770 0.539 0.092
Br3 0.696 0.391 0.750
Br4 0.500 0.000 0.500
Br5 0.770 0.539 0.408
Br6 0.941 0.882 0.830
Br7 0.059 0.118 0.170
Br8 0.304 0.609 0.250
Br9 0.941 0.882 0.670
Br10 0.500 0.000 0.000
Br11 0.059 0.118 0.330
Br12 0.230 0.461 0.908
K1 0.859 0.718 0.960
K2 0.591 0.182 0.871
K3 0.409 0.818 0.129
K4 0.141 0.282 0.460
K5 0.859 0.718 0.540
K6 0.591 0.182 0.629
K7 0.409 0.818 0.371
K8 0.141 0.282 0.040
Ba1 0.339 0.678 0.750
Ba2 0.661 0.322 0.250

Output
Crystal system ... orthorhombic
ΔE_f (raw) ... -42.77 kcal/mol of atoms
Space group ... No. 63

Below is K2BaBr after structural relaxation, with properties calculated at the PBE level.

Cell: 8.192 8.192 4.538 Å, 81.80 81.80 129.61°
Element x y z (fractional)
K1 0.000 0.000 0.000
K2 0.500 0.500 0.000
Ba1 0.500 0.000 0.500
Br1 0.000 0.500 0.500

Output
Crystal system ... monoclinic
ΔE to the lowest computed polymorph ... 0.2458 eV/atom
ΔE_f (raw) ... -11.98 kcal/mol of atoms
Space group ... No. 12

Below is K2BaBr after structural relaxation, with properties calculated at the PBE level.

Cell: 4.471 4.471 12.512 Å, 90.00 90.00 116.21°
Element x y z (fractional)
Br1 0.500 0.500 0.750
K1 0.500 0.500 0.251
K2 0.000 0.000 0.939
Ba1 0.000 0.000 0.560

Output
Crystal system ... orthorhombic
ΔE to the lowest computed polymorph ... 0.0445 eV/atom
ΔE_f (raw) ... -16.62 kcal/mol of atoms
Space group ... No. 35

Below is KBaBr2 after structural relaxation, with properties calculated at the PBE level.

Cell: 10.160 10.160 10.160 Å, 27.93 27.93 27.93°
Element x y z (fractional)
Br1 0.106 0.106 0.106
Br2 0.894 0.894 0.894
Ba1 0.000 0.000 0.000
K1 0.500 0.500 0.500

Output
Crystal system ... trigonal
ΔE to the lowest computed polymorph ... 0.1140 eV/atom
ΔE_f (raw) ... -34.82 kcal/mol of atoms
Space group ... No. 166

Below is K2BaBr after structural relaxation, with properties calculated at the PBE level.

Cell: 7.978 5.206 5.206 Å, 90.00 90.00 90.00°
Element x y z (fractional)
K1 0.000 0.000 0.000
K2 0.000 0.500 0.500
Br1 0.500 0.000 0.500
Ba1 0.500 0.500 0.000

Output
Crystal system ... tetragonal
ΔE to the lowest computed polymorph ... 0.2535 eV/atom
ΔE_f (raw) ... -11.80 kcal/mol of atoms
Space group ... No. 123

Below is KBaBr2 after structural relaxation, with properties calculated at the PBE level.

Cell: 4.578 4.578 9.527 Å, 90.00 90.00 120.36°
Element x y z (fractional)
Br1 0.000 0.000 0.013
Br2 0.000 0.000 0.487
Ba1 0.500 0.500 0.750
K1 0.500 0.500 0.250

Output
Crystal system ... orthorhombic
ΔE to the lowest computed polymorph ... 0.0963 eV/atom
ΔE_f (raw) ... -35.23 kcal/mol of atoms
Space group ... No. 65

Below is KBaBr after structural relaxation, with properties calculated at the PBE level.

Cell: 9.537 9.035 4.480 Å, 82.38 69.87 27.75°
Element x y z (fractional)
Br1 0.334 0.334 0.666
Ba1 0.970 0.970 0.030
K1 0.696 0.696 0.304

Output
Crystal system ... orthorhombic
ΔE to the lowest computed polymorph ... 0.0463 eV/atom
ΔE_f (raw) ... -22.37 kcal/mol of atoms
Space group ... No. 42

no.,E (eV/cell)
1,-9.22
2,-7.74
3,-12.58
4,-8.59
5,-12.70
6,-73.50
7,-7.87
8,-8.67
9,-12.41
10,-7.84
11,-12.48
12,-7.60